1.
DFT (PBE-GGA) results for a geometry-optimized NdGdSi2Os2 structure.

Cell lengths 4.1943, 4.1943, 6.9091 Å; angles 90.00, 90.00, 90.00 degrees
Atoms (fractional coordinates):
Nd  0.0000  0.0000  0.3289
Si  0.5000  0.5000  0.1801
Si  0.0000  0.0000  0.8148
Gd  0.5000  0.5000  0.6821
Os  0.0000  0.5000  0.9971
Os  0.5000  0.0000  0.9971

Output
**Energy**: -7.7654 eV per atom
**SG**: P4mm

2.
DFT (PBE-GGA) results for a geometry-optimized Nd3Gd3Te2Os structure.

Cell lengths 8.5244, 8.5244, 4.0988 Å; angles 90.00, 90.00, 120.00 degrees
Atoms (fractional coordinates):
Gd  0.7639  0.0000  0.5000
Gd  0.2361  0.2361  0.5000
Gd  0.0000  0.7639  0.5000
Nd  0.5988  0.5988  0.0000
Nd  0.0000  0.4012  0.0000
Nd  0.4012  0.0000  0.0000
Te  0.6667  0.3333  0.5000
Te  0.3333  0.6667  0.5000
Os  0.0000  0.0000  0.0000

Output
**Distance to the lowest polymorph of the same formula**: 0.000 eV per formula unit
**SG**: P-62m

Copy entry 2 word for word.
DFT (PBE-GGA) results for a geometry-optimized Nd3Gd3Te2Os structure.

Cell lengths 8.5244, 8.5244, 4.0988 Å; angles 90.00, 90.00, 120.00 degrees
Atoms (fractional coordinates):
Gd  0.7639  0.0000  0.5000
Gd  0.2361  0.2361  0.5000
Gd  0.0000  0.7639  0.5000
Nd  0.5988  0.5988  0.0000
Nd  0.0000  0.4012  0.0000
Nd  0.4012  0.0000  0.0000
Te  0.6667  0.3333  0.5000
Te  0.3333  0.6667  0.5000
Os  0.0000  0.0000  0.0000

Output
**Distance to the lowest polymorph of the same formula**: 0.000 eV per formula unit
**SG**: P-62m

Repeat the second record exactly.
DFT (PBE-GGA) results for a geometry-optimized Nd3Gd3Te2Os structure.

Cell lengths 8.5244, 8.5244, 4.0988 Å; angles 90.00, 90.00, 120.00 degrees
Atoms (fractional coordinates):
Gd  0.7639  0.0000  0.5000
Gd  0.2361  0.2361  0.5000
Gd  0.0000  0.7639  0.5000
Nd  0.5988  0.5988  0.0000
Nd  0.0000  0.4012  0.0000
Nd  0.4012  0.0000  0.0000
Te  0.6667  0.3333  0.5000
Te  0.3333  0.6667  0.5000
Os  0.0000  0.0000  0.0000

Output
**Distance to the lowest polymorph of the same formula**: 0.000 eV per formula unit
**SG**: P-62m

Copy entry 2 word for word.
DFT (PBE-GGA) results for a geometry-optimized Nd3Gd3Te2Os structure.

Cell lengths 8.5244, 8.5244, 4.0988 Å; angles 90.00, 90.00, 120.00 degrees
Atoms (fractional coordinates):
Gd  0.7639  0.0000  0.5000
Gd  0.2361  0.2361  0.5000
Gd  0.0000  0.7639  0.5000
Nd  0.5988  0.5988  0.0000
Nd  0.0000  0.4012  0.0000
Nd  0.4012  0.0000  0.0000
Te  0.6667  0.3333  0.5000
Te  0.3333  0.6667  0.5000
Os  0.0000  0.0000  0.0000

Output
**Distance to the lowest polymorph of the same formula**: 0.000 eV per formula unit
**SG**: P-62m